No. 1
Here is a relaxed structure of RbCuP2Cl from Alexandria via LeMat-Bulk. Energies are from PBE-GGA.

As for the total moment: 1.04 μB/atom. Its calculated volume is 273.5 Å³/f.u. As for the distance to the lowest polymorph of the same formula: 7.39 eV/f.u.

It has space group P4/mmm (No. 123), with a = 6.805 Å, b = 6.805 Å, c = 5.905 Å, α = 90.00°, β = 90.00° and γ = 90.00°. The inequivalent atoms are Rb at (0.000, 0.000, 0.000), Cu at (0.500, 0.500, 0.500), P at (0.000, 0.500, 0.000) and Cl at (0.000, 0.000, 0.500).

---

No. 2
Here is a relaxed structure of CuRePCl2 from Alexandria via LeMat-Bulk. Energies are from PBE-GGA.

As for the total moment: 0.80 μB/atom. Its calculated volume is 103.4 Å³/f.u. As for the distance to the lowest polymorph of the same formula: 2.25 eV/f.u.

It has space group P4/mmm (No. 123), with a = 4.370 Å, b = 4.370 Å, c = 5.414 Å, α = 90.00°, β = 90.00° and γ = 90.00°. The inequivalent atoms are Cu at (0.000, 0.000, 0.000), Re at (0.500, 0.500, 0.500), P at (0.000, 0.000, 0.500) and Cl at (0.000, 0.500, 0.000).

---

No. 3
Here is a relaxed structure of CuRePCl2 from Alexandria via LeMat-Bulk. Energies are from PBE-GGA.

As for the total moment: 0.27 μB/atom. Its calculated volume is 110.0 Å³/f.u. As for the distance to the lowest polymorph of the same formula: 0.00 eV/f.u.

It has space group P4/mmm (No. 123), with a = 4.892 Å, b = 4.892 Å, c = 4.596 Å, α = 90.00°, β = 90.00° and γ = 90.00°. The inequivalent atoms are Cu at (0.000, 0.000, 0.000), Re at (0.500, 0.500, 0.500), P at (0.500, 0.500, 0.000) and Cl at (0.000, 0.500, 0.500).

---

No. 4
Here is a relaxed structure of CuP2RhCl from Alexandria via LeMat-Bulk. Energies are from PBE-GGA.

As for the total moment: 0.00 μB/atom. Its calculated volume is 105.3 Å³/f.u. As for the distance to the lowest polymorph of the same formula: 0.00 eV/f.u.

It has space group P4/mmm (No. 123), with a = 4.493 Å, b = 4.493 Å, c = 5.215 Å, α = 90.00°, β = 90.00° and γ = 90.00°. The inequivalent atoms are Cu at (0.000, 0.000, 0.000), P at (0.000, 0.500, 0.500), Rh at (0.500, 0.500, 0.500) and Cl at (0.500, 0.500, 0.000).